1.
ZrW4Se | GGA-PBE | relaxed Values from VASP.

## Properties
formation energy (no corrections)	438.0	meV/atom
space-group type	F-43m (216)
DOS at the Fermi energy	0.662	states/eV per atom

Structure (Quantum ESPRESSO input):
```
&SYSTEM
  ibrav = 0, nat = 6, ntyp = 3
/
ATOMIC_SPECIES
Zr 91.22 Zr.upf
W 183.84 W.upf
Se 78.96 Se.upf
CELL_PARAMETERS angstrom
0.000 3.807 3.807
3.807 0.000 3.807
3.807 3.807 0.000
ATOMIC_POSITIONS angstrom
Zr 5.710 5.710 5.710
W 2.853 4.760 4.760
W 4.760 4.760 2.853
W 4.760 2.853 4.760
W 2.853 2.853 2.853
Se 0.000 0.000 0.000
```


2.
In2GeSO | GGA-PBE | relaxed Values from VASP.

## Properties
formation energy (no corrections)	69.8	meV/atom
space-group type	P4/mmm (123)
DOS at the Fermi energy	0.476	states/eV per atom

Structure (Quantum ESPRESSO input):
```
&SYSTEM
  ibrav = 0, nat = 5, ntyp = 4
/
ATOMIC_SPECIES
Ge 72.64 Ge.upf
S 32.06 S.upf
O 16.00 O.upf
In 114.82 In.upf
CELL_PARAMETERS angstrom
5.441 0.000 0.000
0.000 3.508 0.000
0.000 0.000 5.441
ATOMIC_POSITIONS angstrom
Ge 2.721 1.754 2.721
S 0.000 0.000 0.000
O 0.000 1.754 0.000
In 0.000 0.000 2.721
In 2.721 0.000 0.000
```


3.
TmIn2Ni | GGA-PBE | relaxed Values from VASP.

## Properties
space-group type	R-3m (166)
DOS at the Fermi energy	0.940	states/eV per atom
E_form	0.9	eV per formula unit

Structure (Quantum ESPRESSO input):
```
&SYSTEM
  ibrav = 0, nat = 4, ntyp = 3
/
ATOMIC_SPECIES
Ni 58.69 Ni.upf
Tm 168.93 Tm.upf
In 114.82 In.upf
CELL_PARAMETERS angstrom
3.308 0.000 0.000
1.654 2.865 0.000
1.654 0.955 10.087
ATOMIC_POSITIONS angstrom
Ni 3.308 1.910 5.043
Tm 0.000 0.000 0.000
In 1.654 0.955 6.923
In 4.963 2.865 3.164
```


4.
La2NdSm2Y | GGA-PBE | relaxed Values from VASP.

## Properties
space-group type	Pnnm (58)
DOS at the Fermi energy	1.861	states/eV per atom
E_form	1.4	eV per formula unit

Structure (Quantum ESPRESSO input):
```
&SYSTEM
  ibrav = 0, nat = 12, ntyp = 4
/
ATOMIC_SPECIES
La 138.91 La.upf
Nd 144.24 Nd.upf
Sm 150.36 Sm.upf
Y 88.91 Y.upf
CELL_PARAMETERS angstrom
3.460 0.000 0.000
0.000 6.772 0.000
0.000 0.000 18.261
ATOMIC_POSITIONS angstrom
La 1.730 1.824 5.752
La 0.000 5.210 3.378
La 1.730 4.948 12.509
La 0.000 1.562 14.883
Nd 1.730 3.386 0.000
Nd 0.000 0.000 9.131
Sm 1.730 5.242 6.453
Sm 1.730 1.530 11.808
Sm 0.000 4.916 15.584
Sm 0.000 1.856 2.677
Y 0.000 0.000 0.000
Y 1.730 3.386 9.131
```


5.
Tb2In3Ag4 | GGA-PBE | relaxed Values from VASP.

## Properties
space-group type	C2/m (12)
DOS at the Fermi energy	0.291	states/eV per atom
E_form	-2.6	eV per formula unit
energy above the most stable polymorph in this dataset	0.0	meV per atom

Structure (Quantum ESPRESSO input):
```
&SYSTEM
  ibrav = 0, nat = 9, ntyp = 3
/
ATOMIC_SPECIES
Tb 158.93 Tb.upf
In 114.82 In.upf
Ag 107.87 Ag.upf
CELL_PARAMETERS angstrom
-1.587 -2.255 4.134
3.126 -0.710 3.799
-2.447 8.262 3.568
ATOMIC_POSITIONS angstrom
Tb -1.401 5.483 5.440
Tb 0.493 -0.186 6.061
In -0.524 2.510 4.155
In 0.000 0.000 0.000
In -0.384 2.787 7.346
Ag -1.166 5.436 8.491
Ag 2.293 2.095 5.009
Ag -3.201 3.202 6.492
Ag 0.258 -0.139 3.010
```


6.
BeCdHg2 | GGA-PBE | relaxed Values from VASP.

## Properties
space-group type	Cmmm (65)
DOS at the Fermi energy	0.284	states/eV per atom
E_form	1.7	eV per formula unit
energy above the most stable polymorph in this dataset	186.1	meV per atom

Structure (Quantum ESPRESSO input):
```
&SYSTEM
  ibrav = 0, nat = 4, ntyp = 3
/
ATOMIC_SPECIES
Be 9.01 Be.upf
Hg 200.59 Hg.upf
Cd 112.41 Cd.upf
CELL_PARAMETERS angstrom
4.795 -0.010 0.000
-1.416 4.581 0.000
0.000 0.000 3.707
ATOMIC_POSITIONS angstrom
Be 2.397 -0.005 1.854
Hg 0.000 0.000 0.000
Hg 1.689 2.285 0.000
Cd -0.708 2.290 1.854
```


7.
CaPr2Pd9 | GGA-PBE | relaxed Values from VASP.

## Properties
space-group type	P4/mmm (123)
DOS at the Fermi energy	0.622	states/eV per atom
E_form	-7.9	eV per formula unit

Structure (Quantum ESPRESSO input):
```
&SYSTEM
  ibrav = 0, nat = 12, ntyp = 3
/
ATOMIC_SPECIES
Ca 40.08 Ca.upf
Pr 140.91 Pr.upf
Pd 106.42 Pd.upf
CELL_PARAMETERS angstrom
4.208 0.000 0.000
0.000 4.208 0.000
0.000 0.000 12.484
ATOMIC_POSITIONS angstrom
Ca 0.000 0.000 0.000
Pr 0.000 0.000 4.115
Pr 0.000 0.000 8.369
Pd 2.104 2.104 0.000
Pd 2.104 2.104 4.148
Pd 2.104 2.104 8.336
Pd 2.104 0.000 2.040
Pd 2.104 0.000 6.242
Pd 2.104 0.000 10.444
Pd 0.000 2.104 2.040
Pd 0.000 2.104 6.242
Pd 0.000 2.104 10.444
```


8.
Sm3DyHo7 | GGA-PBE | relaxed Values from VASP.

## Properties
space-group type	P3m1 (156)
DOS at the Fermi energy	1.529	states/eV per atom
E_form	2.0	eV per formula unit
energy above the most stable polymorph in this dataset	0.0	meV per atom

Structure (Quantum ESPRESSO input):
```
&SYSTEM
  ibrav = 0, nat = 11, ntyp = 3
/
ATOMIC_SPECIES
Sm 150.36 Sm.upf
Dy 162.50 Dy.upf
Ho 164.93 Ho.upf
CELL_PARAMETERS angstrom
8.622 0.000 0.000
0.000 7.038 0.000
0.000 -3.519 6.095
ATOMIC_POSITIONS angstrom
Sm 6.753 1.760 3.047
Sm 6.753 3.519 0.000
Sm 6.753 5.278 3.047
Dy 3.840 0.000 4.063
Ho 1.034 -1.750 5.074
Ho 1.034 0.000 2.043
Ho 1.044 3.519 2.032
Ho 3.848 5.269 1.022
Ho 3.848 1.770 1.022
Ho 3.848 3.519 4.052
Ho 1.034 1.750 5.074
```


> Look up the DOS at the Fermi energy of the third one.

0.940 states/eV per atom


> DOS at the Fermi energy of number 8 (Sm3DyHo7)?

1.529 states/eV per atom